First-principles (GGA-PBE) data for a geometry-optimized VFeNi6 structure, as listed in the Alexandria database.

* calculated formation energy: 4.72 kcal/mol of atoms
* Fermi-level density of states: 16.2 states/eV per cell

a = 7.0153 Å, b = 4.7336 Å, c = 6.4012 Å
α = 90.00°, β = 108.26°, γ = 90.00°
Space group C2/m (No. 12)
Unique sites:
V: 0.0000 0.0000 0.0000 x2
Fe: 0.0000 0.5000 0.5000 x2
Ni: 0.1392 0.0000 0.4334 x4
Ni: 0.2013 0.2411 0.8028 x8


First-principles (GGA-PBE) data for a geometry-optimized VFe2Ni structure, as listed in the Alexandria database.

* calculated formation energy: -3.42 kcal/mol of atoms
* Fermi-level density of states: 3.7 states/eV per cell

a = 3.5985 Å, b = 3.5985 Å, c = 3.5511 Å
α = 90.00°, β = 90.00°, γ = 90.00°
Space group P4/mmm (No. 123)
Unique sites:
V: 0.0000 0.0000 0.0000 x1
Fe: 0.0000 0.5000 0.5000 x2
Ni: 0.5000 0.5000 0.0000 x1


First-principles (GGA-PBE) data for a geometry-optimized VFe2Ni structure, as listed in the Alexandria database.

* calculated formation energy: -0.92 kcal/mol of atoms
* Fermi-level density of states: 4.8 states/eV per cell

a = 2.9748 Å, b = 2.9748 Å, c = 5.3070 Å
α = 90.00°, β = 90.00°, γ = 90.00°
Space group P4/mmm (No. 123)
Unique sites:
V: 0.0000 0.0000 0.0000 x1
Fe: 0.5000 0.5000 0.2524 x2
Ni: 0.0000 0.0000 0.5000 x1